# 1
DFT (meta-GGA SCAN) results for a PBEsol-optimized structure of Ca3InPd.

## Properties
The value obtained for the total DFT energy (no corrections) is -18.7715 eV per atom. Its space-group type is Pm-3m. For the density of states at the Fermi level, the calculation gives 4.363 states/eV/cell. The value obtained for the formation energy is 1.29 eV per formula unit. The total magnetic moment is 0.00 μB/f.u.

a b c (Å): 5.721 5.721 5.721
angles (deg): 90.00 90.00 90.00
Fractional coordinates of all 5 atoms:
Ca: 0.000 0.000 0.500
Ca: 0.000 0.500 0.000
Ca: 0.500 0.000 0.000
In: 0.000 0.000 0.000
Pd: 0.500 0.500 0.500

=====

# 2
DFT (meta-GGA SCAN) results for a PBEsol-optimized structure of Ca2TaInPd.

## Properties
The value obtained for the total DFT energy (no corrections) is -29.3740 eV per atom. Its space-group type is P4/mmm. For the density of states at the Fermi level, the calculation gives 4.975 states/eV/cell. The value obtained for the formation energy is 5.20 eV per formula unit. The total magnetic moment is 2.37 μB/f.u.

a b c (Å): 5.576 5.576 5.150
angles (deg): 90.00 90.00 90.00
Fractional coordinates of all 5 atoms:
Ca: 0.000 0.500 0.000
Ca: 0.500 0.000 0.000
Ta: 0.000 0.000 0.500
In: 0.000 0.000 0.000
Pd: 0.500 0.500 0.500

=====

# 3
DFT (meta-GGA SCAN) results for a PBEsol-optimized structure of CaInPt.

## Properties
The value obtained for the total DFT energy (no corrections) is -38.7403 eV per atom. Its space-group type is Pnma. For the density of states at the Fermi level, the calculation gives 4.328 states/eV/cell. The value obtained for the formation energy is -2.98 eV per formula unit. The total magnetic moment is 0.00 μB/f.u.

a b c (Å): 7.188 4.363 8.327
angles (deg): 90.00 90.00 90.00
Fractional coordinates of all 12 atoms:
Ca: 0.031 0.250 0.177
Ca: 0.469 0.750 0.677
Ca: 0.531 0.250 0.323
Ca: 0.969 0.750 0.823
In: 0.148 0.250 0.565
In: 0.352 0.750 0.065
In: 0.648 0.250 0.935
In: 0.852 0.750 0.435
Pt: 0.233 0.750 0.376
Pt: 0.267 0.250 0.876
Pt: 0.733 0.750 0.124
Pt: 0.767 0.250 0.624

=====

# 4
DFT (meta-GGA SCAN) results for a PBEsol-optimized structure of CaInPt2.

## Properties
The value obtained for the total DFT energy (no corrections) is -46.5953 eV per atom. Its space-group type is Cmmm. For the density of states at the Fermi level, the calculation gives 1.175 states/eV/cell. The value obtained for the formation energy is -2.95 eV per formula unit. The total magnetic moment is 0.00 μB/f.u.

a b c (Å): 4.504 4.504 3.621
angles (deg): 90.00 90.00 95.10
Fractional coordinates of all 4 atoms:
Ca: 0.000 0.000 0.000
In: 0.500 0.500 0.000
Pt: 0.000 0.500 0.500
Pt: 0.500 0.000 0.500